Computed, not measured: crystalline RbLa2Ru at its relaxed geometry at the GGA-PBE level of DFT.

a = 8.446 Å, b = 8.446 Å, c = 8.452 Å
α = 60.02°, β = 60.02°, γ = 90.00°
Positions (direct):
Rb (0.250, 0.750, 0.500)
Ru (0.000, 0.000, 0.000)
La (0.874, 0.125, 0.250)
Ru (0.750, 0.250, 0.500)
La (0.375, 0.126, 0.750)
La (0.875, 0.124, 0.750)
La (0.876, 0.625, 0.250)
Rb (0.500, 0.500, 0.000)

Summary:
Relative energy among the computed polymorphs ... 0.000 eV per atom
DFT total energy ... -4.879 eV/atom
Mass density ... 3.6 g/cm³
Formation energy from the elements ... 0.145 eV per atom